Entry 1:
This record from Alexandria describes a relaxed structure of CuTeSe. The functional is PBE-GGA.

a = 6.629 Å, b = 5.917 Å, c = 4.079 Å
α = 80.82°, β = 61.78°, γ = 37.40°
Atoms (fractional coordinates):
Cu  0.991  0.991  0.009
Se  0.375  0.375  0.625
Te  0.634  0.634  0.366

DFT total energy: -10.322 eV/cell
ΔE_f (raw): 0.134 eV per atom
Magnetic moment: 0.00 μB/cell

***

Entry 2:
This record from Alexandria describes a relaxed structure of Cu2Te3Se4. The functional is PBE-GGA.

a = 6.174 Å, b = 9.439 Å, c = 9.439 Å
α = 64.47°, β = 105.69°, γ = 105.69°
Atoms (fractional coordinates):
Se  0.461  0.982  0.274
Se  0.601  0.421  0.243
Se  0.961  0.274  0.982
Se  0.539  0.018  0.726
Se  0.399  0.579  0.757
Se  0.039  0.726  0.018
Se  0.101  0.243  0.421
Se  0.899  0.757  0.579
Te  0.047  0.998  0.729
Te  0.453  0.271  0.002
Te  0.547  0.729  0.998
Te  0.750  0.482  0.518
Te  0.953  0.002  0.271
Te  0.250  0.518  0.482
Cu  0.392  0.119  0.415
Cu  0.108  0.585  0.881
Cu  0.892  0.415  0.119
Cu  0.608  0.881  0.585

DFT total energy: -62.432 eV/cell
ΔE_f (raw): 0.038 eV per atom
Magnetic moment: 0.00 μB/cell

***

Entry 3:
This record from Alexandria describes a relaxed structure of Cu3TeSe. The functional is PBE-GGA.

a = 4.662 Å, b = 4.662 Å, c = 4.662 Å
α = 90.00°, β = 90.00°, γ = 90.00°
Atoms (fractional coordinates):
Te  0.500  0.500  0.500
Cu  0.500  0.000  0.000
Cu  0.000  0.500  0.000
Cu  0.000  0.000  0.500
Se  0.000  0.000  0.000

DFT total energy: -17.310 eV/cell
ΔE_f (raw): 0.321 eV per atom
Magnetic moment: 0.00 μB/cell

***

Entry 4:
This record from Alexandria describes a relaxed structure of CuTe2Se. The functional is PBE-GGA.

a = 7.368 Å, b = 7.368 Å, c = 7.368 Å
α = 31.17°, β = 31.17°, γ = 31.17°
Atoms (fractional coordinates):
Cu  0.491  0.491  0.491
Te  0.999  0.999  0.999
Te  0.234  0.234  0.234
Se  0.776  0.776  0.776

DFT total energy: -13.732 eV/cell
ΔE_f (raw): 0.033 eV per atom
Magnetic moment: 0.00 μB/cell

***

Entry 5:
This record from Alexandria describes a relaxed structure of CuTeSe. The functional is PBE-GGA.

a = 3.823 Å, b = 5.065 Å, c = 14.074 Å
α = 90.00°, β = 90.00°, γ = 90.00°
Atoms (fractional coordinates):
Te  0.250  0.724  0.433
Te  0.250  0.776  0.933
Te  0.750  0.276  0.567
Te  0.750  0.224  0.067
Cu  0.250  0.990  0.651
Cu  0.250  0.510  0.151
Cu  0.750  0.490  0.849
Cu  0.750  0.010  0.349
Se  0.250  0.183  0.816
Se  0.750  0.817  0.184
Se  0.250  0.317  0.316
Se  0.750  0.683  0.684

DFT total energy: -43.605 eV/cell
ΔE_f (raw): -0.060 eV per atom
Magnetic moment: 0.00 μB/cell

***

Entry 6:
This record from Alexandria describes a relaxed structure of TlCu2TeSe. The functional is PBE-GGA.

a = 4.002 Å, b = 8.095 Å, c = 7.952 Å
α = 104.50°, β = 90.00°, γ = 90.00°
Atoms (fractional coordinates):
Cu  0.250  0.508  0.376
Cu  0.750  0.503  0.127
Cu  0.750  0.492  0.624
Cu  0.250  0.497  0.873
Se  0.750  0.690  0.428
Se  0.250  0.310  0.572
Tl  0.750  0.074  0.741
Tl  0.250  0.926  0.259
Te  0.750  0.718  0.926
Te  0.250  0.282  0.074

DFT total energy: -36.310 eV/cell
ΔE_f (raw): -0.194 eV per atom
Magnetic moment: 0.00 μB/cell

***

Question: Number 4 is which compound?
Answer: CuTe2Se

***

Question: The highest ΔE_f (raw) belongs to which entry?
Answer: Cu3TeSe

***

Question: The highest DFT total energy belongs to which entry?
Answer: number 1